{"formula": "Ba2Sb", "functional": "PBE", "state": "relaxed", "magnetic_moment_mub_per_cell": 0.000, "total_energy_ev_per_atom": -3.321, "lattice": [[5.485, 0.000, 0.000], [-2.742, 4.750, 0.000], [0.000, 0.000, 5.127]], "species": ["Ba", "Ba", "Sb"], "frac_coords": [[0.667, 0.333, 0.277], [0.333, 0.667, 0.723], [0.000, 0.000, 0.000]]}